Record 1
Computed, not measured: a relaxed CaTl2P2Pt7 crystal at the PBE level of DFT.

a = 4.0254 Å, b = 4.0254 Å, c = 14.1676 Å
α = 86.31°, β = 86.31°, γ = 90.02°
Atoms (fractional coordinates):
Ca 0.0000 0.0000 0.0000
Tl 0.9170 0.9170 0.3982
Tl 0.0830 0.0830 0.6018
P 0.5566 0.5566 0.7567
P 0.4434 0.4434 0.2433
Pt 0.5000 0.5000 0.0000
Pt 0.4268 0.4268 0.4056
Pt 0.5732 0.5732 0.5944
Pt 0.9633 0.4644 0.1560
Pt 0.4644 0.9633 0.1560
Pt 0.5356 0.0367 0.8440
Pt 0.0367 0.5356 0.8440

Computed properties:
ΔE_f in eV per atom: -0.463
Symmetry: C2/m

---

Record 2
Computed, not measured: a relaxed KMo2As crystal at the PBE level of DFT.

a = 4.0537 Å, b = 3.2787 Å, c = 7.4336 Å
α = 78.68°, β = 90.00°, γ = 90.00°
Atoms (fractional coordinates):
As 0.0000 0.3497 0.4313
K 0.5000 0.7234 0.7165
Mo 0.0000 0.9696 0.1627
Mo 0.5000 0.4573 0.1895

Computed properties:
ΔE_f in eV per atom: 0.329
Symmetry: Pm

---

Record 3
Computed, not measured: a relaxed MoIrOs4 crystal at the PBE level of DFT.

a = 6.7889 Å, b = 5.5416 Å, c = 5.5215 Å
α = 120.12°, β = 101.69°, γ = 90.00°
Atoms (fractional coordinates):
Mo 0.3385 0.1383 0.2766
Mo 0.6615 0.8617 0.7234
Ir 0.3393 0.6393 0.2786
Ir 0.6607 0.3607 0.7214
Os 0.9937 0.2522 0.5045
Os 0.6649 0.8605 0.2203
Os 0.0000 0.7425 0.0000
Os 0.3351 0.6403 0.7797
Os 0.0063 0.7478 0.4955
Os 0.3351 0.1395 0.7797
Os 0.0000 0.2575 0.0000
Os 0.6649 0.3597 0.2203

Computed properties:
ΔE_f in eV per atom: -0.052
Energy relative to the lowest polymorph listed for this composition in meV per atom: 0
Symmetry: C2/m

---

Record 4
Computed, not measured: a relaxed BiPbAu4 crystal at the PBE level of DFT.

a = 5.7298 Å, b = 5.7298 Å, c = 5.7298 Å
α = 60.00°, β = 60.00°, γ = 60.00°
Atoms (fractional coordinates):
Pb 0.0000 0.0000 0.0000
Au 0.6249 0.6249 0.1252
Au 0.6249 0.1252 0.6249
Au 0.6249 0.6249 0.6249
Au 0.1252 0.6249 0.6249
Bi 0.2500 0.2500 0.2500

Computed properties:
ΔE_f in eV per atom: -0.078
Symmetry: F-43m

---

Record 5
Computed, not measured: a relaxed CdTcPb2O crystal at the PBE level of DFT.

a = 5.5635 Å, b = 5.2747 Å, c = 5.5635 Å
α = 90.00°, β = 90.00°, γ = 90.00°
Atoms (fractional coordinates):
Pb 0.0000 0.0000 0.5000
Pb 0.5000 0.0000 0.0000
Tc 0.0000 0.5000 0.0000
O 0.5000 0.5000 0.5000
Cd 0.0000 0.0000 0.0000

Computed properties:
Symmetry: P4/mmm
ΔE_f (raw) in meV per atom: 1534

---

Record 6
Computed, not measured: a relaxed La3YPb2 crystal at the PBE level of DFT.

a = 4.7790 Å, b = 4.7790 Å, c = 8.9477 Å
α = 90.00°, β = 90.00°, γ = 90.00°
Atoms (fractional coordinates):
La 0.5000 0.0000 0.3476
La 0.0000 0.5000 0.6524
La 0.0000 0.0000 0.0000
Y 0.5000 0.5000 0.0000
Pb 0.5000 0.0000 0.7236
Pb 0.0000 0.5000 0.2764

Computed properties:
ΔE_f in eV per atom: -0.461
Energy relative to the lowest polymorph listed for this composition in meV per atom: 0
Symmetry: P-4m2

---

Record 7
Computed, not measured: a relaxed Na2TaInSe5 crystal at the PBE level of DFT.

a = 3.8368 Å, b = 9.0471 Å, c = 14.2218 Å
α = 90.00°, β = 90.00°, γ = 102.24°
Atoms (fractional coordinates):
Na 0.8767 0.7534 0.8066
Na 0.0844 0.1688 0.6615
Na 0.1233 0.2466 0.3066
Na 0.9156 0.8312 0.1615
Ta 0.7548 0.5095 0.5347
Ta 0.2452 0.4905 0.0347
In 0.5678 0.1357 0.9288
In 0.4322 0.8643 0.4288
Se 0.3780 0.7559 0.0041
Se 0.7211 0.4422 0.9043
Se 0.4994 0.9987 0.7736
Se 0.2644 0.5289 0.6583
Se 0.9184 0.8369 0.5521
Se 0.6220 0.2441 0.5041
Se 0.2789 0.5578 0.4043
Se 0.5006 0.0013 0.2736
Se 0.7356 0.4711 0.1583
Se 0.0816 0.1631 0.0521

Computed properties:
Symmetry: Cmc2_1
ΔE_f (raw) in meV per atom: -782

---

Record 8
Computed, not measured: a relaxed KLa2RuO8 crystal at the PBE level of DFT.

a = 5.3341 Å, b = 4.3348 Å, c = 7.4781 Å
α = 74.26°, β = 89.99°, γ = 89.88°
Atoms (fractional coordinates):
K 0.0000 0.0000 0.5000
La 0.5062 0.3764 0.7888
La 0.4938 0.6236 0.2112
Ru 0.0000 0.0000 0.0000
O 0.0136 0.6557 0.2228
O 0.7018 0.8191 0.9071
O 0.7737 0.2059 0.1191
O 0.9864 0.3443 0.7772
O 0.2982 0.1809 0.0929
O 0.2263 0.7941 0.8809
O 0.5020 0.8316 0.4965
O 0.4980 0.1684 0.5035

Computed properties:
Symmetry: P-1
ΔE_f (raw) in meV per atom: -1892

---

Record 9
Computed, not measured: a relaxed MgVCu crystal at the PBE level of DFT.

a = 4.0915 Å, b = 4.0915 Å, c = 10.6181 Å
α = 90.00°, β = 90.00°, γ = 120.00°
Atoms (fractional coordinates):
Mg 0.0000 0.0000 0.2500
Mg 0.0000 0.0000 0.7500
Cu 0.3333 0.6667 0.2500
Cu 0.6667 0.3333 0.7500
V 0.0000 0.0000 0.0000
V 0.0000 0.0000 0.5000

Computed properties:
ΔE_f in eV per atom: 1.587
Energy relative to the lowest polymorph listed for this composition in meV per atom: 1476
Symmetry: P6_3/mmc

---

Record 10
Computed, not measured: a relaxed TiMn2Cr crystal at the PBE level of DFT.

a = 5.2662 Å, b = 5.2662 Å, c = 5.2662 Å
α = 151.13°, β = 57.30°, γ = 131.64°
Atoms (fractional coordinates):
Ti 0.0000 0.0000 0.0000
Mn 0.2724 0.0000 0.2724
Mn 0.7276 0.0000 0.7276
Cr 0.5000 0.0000 0.5000

Computed properties:
ΔE_f in eV per atom: 0.485
Symmetry: Immm

---

Record 11
Computed, not measured: a relaxed MgH3Pd2 crystal at the PBE level of DFT.

a = 3.7106 Å, b = 4.3436 Å, c = 7.3830 Å
α = 88.94°, β = 104.55°, γ = 90.00°
Atoms (fractional coordinates):
Mg 0.3898 0.2545 0.7796
Mg 0.6102 0.7455 0.2204
H 0.2234 0.3042 0.4469
H 0.0489 0.7795 0.0978
H 0.4129 0.7531 0.8258
H 0.7766 0.6958 0.5531
H 0.5871 0.2469 0.1742
H 0.9511 0.2205 0.9022
Pd 0.2689 0.7504 0.5378
Pd 0.7311 0.2496 0.4622
Pd 0.9281 0.7612 0.8561
Pd 0.0719 0.2388 0.1439

Computed properties:
Energy relative to the lowest polymorph listed for this composition in meV per atom: 12
Symmetry: C2/m

---

Record 12
Computed, not measured: a relaxed MgBPd3 crystal at the PBE level of DFT.

a = 5.6447 Å, b = 5.7412 Å, c = 5.6419 Å
α = 120.53°, β = 111.10°, γ = 89.94°
Atoms (fractional coordinates):
Mg 0.2111 0.7071 0.1108
Mg 0.7121 0.3011 0.1110
B 0.4659 0.4642 0.5256
B 0.9658 0.9594 0.5251
Pd 0.6849 0.7812 0.0685
Pd 0.6627 0.8132 0.5855
Pd 0.1621 0.6695 0.5846
Pd 0.1870 0.1848 0.0685
Pd 0.3044 0.2033 0.6230
Pd 0.8044 0.3175 0.6237

Computed properties:
ΔE_f in eV per atom: -0.485
Energy relative to the lowest polymorph listed for this composition in meV per atom: 0
Symmetry: P1

---

no.,magnetization (μB/atom),volume (Å³/cell)
1,0.00,228.6
2,0.00,96.9
3,0.00,174.7
4,0.00,133.0
5,0.90,163.3
6,0.00,204.4
7,0.00,482.4
8,0.07,166.4
9,1.31,153.9
10,0.23,52.3
11,0.00,115.2
12,0.00,143.1